No. 1
# Li2TlCd

A relaxed Li2TlCd crystal (GGA-PBE, Alexandria via LeMat-Bulk).

DFT formation energy in eV per atom: -0.240
Crystal system: orthorhombic
Calculated total energy in eV per cell: -8.1
SG: Pmmm, No. 47

Lattice parameters (Å, degrees): 3.2890 3.2785 7.9687 65.69 90.00 90.00
Last column: nearest neighbours and their distance in Å.
Atoms (fractional coordinates):
Li 0.0000 0.4904 0.5092  4 Cd 2.91, 4 Tl 2.99
Li 0.0000 0.0096 0.9908  4 Cd 2.91, 4 Tl 2.99
Cd 0.5000 0.7500 0.7500  8 Li 2.91
Tl 0.5000 0.2500 0.2500  8 Li 2.99, 4 Tl 3.28-3.29


No. 2
# LiTlCd2

A relaxed LiTlCd2 crystal (GGA-PBE, Alexandria via LeMat-Bulk).

DFT formation energy in eV per atom: -0.088
Crystal system: orthorhombic
Calculated total energy in eV per cell: -6.5
SG: Pmmm, No. 47

Lattice parameters (Å, degrees): 3.4415 4.2254 6.2715 90.00 90.00 90.00
Last column: nearest neighbours and their distance in Å.
Atoms (fractional coordinates):
Tl 0.5000 0.5000 0.7500  2 Li 3.14, 8 Cd 3.20, 2 Tl 3.44
Li 0.5000 0.5000 0.2500  8 Cd 3.09, 2 Tl 3.14, 2 Li 3.44
Cd 0.0000 0.0000 0.0183  1 Cd 2.91, 4 Li 3.09, 4 Tl 3.20
Cd 0.0000 0.0000 0.4817  1 Cd 2.91, 4 Li 3.09, 4 Tl 3.20


No. 3
# Li7Tl3Cd2

A relaxed Li7Tl3Cd2 crystal (GGA-PBE, Alexandria via LeMat-Bulk).

DFT formation energy in eV per atom: -0.130
Crystal system: orthorhombic
Calculated total energy in eV per cell: -23.9
SG: Cmmm, No. 65

Lattice parameters (Å, degrees): 4.8033 4.7932 11.2618 102.29 90.00 90.00
Last column: nearest neighbours and their distance in Å.
Atoms (fractional coordinates):
Li 0.0000 0.4240 0.8480  2 Cd 2.85, 2 Li 2.92, 4 Tl 2.93-3.04
Li 0.0000 0.2782 0.5565  2 Li 2.70, 2 Tl 2.75, 3 Cd 2.90-2.91
Li 0.5000 0.9253 0.8506  2 Cd 2.87, 4 Tl 2.91-3.05, 2 Li 2.91
Li 0.0000 0.0000 0.0000  8 Li 2.91-2.92, 2 Cd 3.22
Li 0.0000 0.7218 0.4435  2 Li 2.70, 2 Tl 2.75, 3 Cd 2.90-2.91
Li 0.5000 0.0747 0.1494  2 Cd 2.87, 4 Tl 2.91-3.05, 2 Li 2.91
Li 0.0000 0.5760 0.1520  2 Cd 2.85, 2 Li 2.92, 4 Tl 2.93-3.04
Tl 0.5000 0.5000 0.0000  8 Li 2.91-2.93
Tl 0.5000 0.6606 0.3212  6 Li 2.75-3.05
Tl 0.5000 0.3394 0.6788  6 Li 2.75-3.05
Cd 0.0000 0.8535 0.7071  7 Li 2.85-2.91
Cd 0.0000 0.1465 0.2929  7 Li 2.85-2.91


No. 4
# LiTlCd2

A relaxed LiTlCd2 crystal (GGA-PBE, Alexandria via LeMat-Bulk).

DFT formation energy in eV per atom: -0.107
Crystal system: tetragonal
Calculated total energy in eV per cell: -6.5
SG: I-4m2, No. 119

Lattice parameters (Å, degrees): 5.4021 5.4021 5.4021 130.04 130.01 73.37
Last column: nearest neighbours and their distance in Å.
Atoms (fractional coordinates):
Cd 0.9999 0.9999 0.0000  4 Cd 3.15, 4 Tl 3.15, 4 Li 3.23
Cd 0.2501 0.7501 0.5000  4 Li 3.14-3.15, 4 Cd 3.15, 4 Tl 3.23
Tl 0.7499 0.2499 0.5000  8 Cd 3.15-3.23, 4 Li 3.15
Li 0.4999 0.4999 0.0000  8 Cd 3.14-3.23, 4 Tl 3.15


No. 5
# Li2TlCd9

A relaxed Li2TlCd9 crystal (GGA-PBE, Alexandria via LeMat-Bulk).

DFT formation energy in eV per atom: -0.076
Crystal system: tetragonal
Calculated total energy in eV per cell: -15.3
SG: P4/mmm, No. 123

Lattice parameters (Å, degrees): 4.5565 4.5565 12.7770 90.00 90.00 90.00
Last column: nearest neighbours and their distance in Å.
Atoms (fractional coordinates):
Cd 0.0000 0.5000 0.5000  4 Li 3.03, 8 Cd 3.06-3.22
Cd 0.0000 0.5000 0.1841  8 Cd 3.03-3.27, 2 Li 3.05, 2 Tl 3.27
Cd 0.5000 0.5000 0.0000  4 Tl 3.22, 8 Cd 3.27
Cd 0.5000 0.5000 0.6598  8 Cd 3.03-3.06, 4 Li 3.22
Cd 0.0000 0.5000 0.8159  8 Cd 3.03-3.27, 2 Li 3.05, 2 Tl 3.27
Cd 0.5000 0.5000 0.3402  8 Cd 3.03-3.06, 4 Li 3.22
Cd 0.5000 0.0000 0.8159  8 Cd 3.03-3.27, 2 Li 3.05, 2 Tl 3.27
Cd 0.5000 0.0000 0.1841  8 Cd 3.03-3.27, 2 Li 3.05, 2 Tl 3.27
Cd 0.5000 0.0000 0.5000  4 Li 3.03, 8 Cd 3.06-3.22
Li 0.0000 0.0000 0.6569  12 Cd 3.03-3.22
Li 0.0000 0.0000 0.3431  12 Cd 3.03-3.22
Tl 0.0000 0.0000 0.0000  12 Cd 3.22-3.27


No. 6
# LiTlCd4

A relaxed LiTlCd4 crystal (GGA-PBE, Alexandria via LeMat-Bulk).

DFT formation energy in eV per atom: -0.035
Crystal system: cubic
Calculated total energy in eV per cell: -8.1
SG: F-43m, No. 216

Lattice parameters (Å, degrees): 5.9252 5.9252 5.9252 60.00 60.00 60.00
Last column: nearest neighbours and their distance in Å.
Atoms (fractional coordinates):
Cd 0.6245 0.6245 0.6245  6 Cd 2.95-2.97
Cd 0.6245 0.6245 0.1265  6 Cd 2.95-2.97
Cd 0.6245 0.1265 0.6245  6 Cd 2.95-2.97
Cd 0.1265 0.6245 0.6245  6 Cd 2.95-2.97
Tl 0.0000 0.0000 0.0000  12 Cd 3.48, 4 Li 3.63
Li 0.2500 0.2500 0.2500  12 Cd 3.47, 4 Tl 3.63


No. 7
# Li4TlCd3

A relaxed Li4TlCd3 crystal (GGA-PBE, Alexandria via LeMat-Bulk).

DFT formation energy in eV per atom: -0.247
Crystal system: monoclinic
Calculated total energy in eV per cell: -14.7
SG: C2/m, No. 12

Lattice parameters (Å, degrees): 4.7848 4.7854 7.4400 109.02 108.76 90.00
Last column: nearest neighbours and their distance in Å.
Atoms (fractional coordinates):
Li 0.8737 0.8734 0.7474  6 Cd 2.88-2.92, 2 Tl 2.92
Li 0.3736 0.3740 0.7473  6 Cd 2.88-2.92, 2 Tl 2.91-2.93
Li 0.1263 0.1266 0.2526  6 Cd 2.88-2.92, 2 Tl 2.92
Li 0.6264 0.6260 0.2527  6 Cd 2.88-2.92, 2 Tl 2.91-2.93
Cd 0.2478 0.7485 0.4956  8 Li 2.88-2.92
Cd 0.0000 0.5000 0.0000  8 Li 2.91-2.92
Cd 0.7522 0.2515 0.5044  8 Li 2.88-2.92
Tl 0.5000 0.0000 0.0000  8 Li 2.91-2.93


No. 8
# Li5Tl3Cd3

A relaxed Li5Tl3Cd3 crystal (GGA-PBE, Alexandria via LeMat-Bulk).

DFT formation energy in eV per atom: 0.062
Crystal system: hexagonal
Calculated total energy in eV per cell: -18.7
SG: P-62m, No. 189

Lattice parameters (Å, degrees): 4.8801 8.0272 8.0272 120.00 90.00 90.00
Last column: nearest neighbours and their distance in Å.
Atoms (fractional coordinates):
Li 0.5000 0.6109 0.6109  2 Li 2.48, 2 Cd 2.71, 2 Tl 2.75
Li 0.5000 0.6667 0.3333  3 Li 2.48
Li 0.5000 0.3891 0.0000  2 Li 2.48, 2 Cd 2.71, 2 Tl 2.75
Li 0.5000 0.0000 0.3891  2 Li 2.48, 2 Cd 2.71, 2 Tl 2.75
Li 0.5000 0.3333 0.6667  3 Li 2.48
Tl 0.0000 0.5473 0.0000  2 Li 2.75, 2 Cd 3.08
Tl 0.0000 0.4527 0.4527  2 Li 2.75, 2 Cd 3.08
Tl 0.0000 0.0000 0.5473  2 Li 2.75, 2 Cd 3.08
Cd 0.5000 0.2190 0.2190  2 Li 2.71
Cd 0.5000 0.0000 0.7810  2 Li 2.71
Cd 0.5000 0.7810 0.0000  2 Li 2.71


No. 9
# Li3Tl3Cd

A relaxed Li3Tl3Cd crystal (GGA-PBE, Alexandria via LeMat-Bulk).

DFT formation energy in eV per atom: -0.163
Crystal system: orthorhombic
Calculated total energy in eV per cell: -29.8
SG: Cmmm, No. 65

Lattice parameters (Å, degrees): 6.8082 6.8082 6.7145 90.00 90.00 90.00
Last column: nearest neighbours and their distance in Å.
Atoms (fractional coordinates):
Li 0.0000 0.0000 0.2378  2 Cd 2.98, 6 Tl 3.01-3.13, 1 Li 3.19
Li 0.0000 0.0000 0.7622  2 Cd 2.98, 6 Tl 3.01-3.13, 1 Li 3.19
Li 0.5000 0.0000 0.7556  2 Cd 2.92, 6 Tl 2.92-2.96
Li 0.0000 0.5000 0.7556  2 Cd 2.92, 6 Tl 2.92-2.96
Li 0.5000 0.0000 0.2444  2 Cd 2.92, 6 Tl 2.92-2.96
Li 0.0000 0.5000 0.2444  2 Cd 2.92, 6 Tl 2.92-2.96
Cd 0.2610 0.2610 0.0000  6 Li 2.92-2.98, 2 Tl 3.16
Cd 0.7390 0.7390 0.0000  6 Li 2.92-2.98, 2 Tl 3.16
Tl 0.2754 0.7246 0.0000  6 Li 2.92-3.10, 2 Cd 3.16
Tl 0.2538 0.7462 0.5000  6 Li 2.96-3.01, 2 Tl 3.25
Tl 0.7246 0.2754 0.0000  6 Li 2.92-3.10, 2 Cd 3.16
Tl 0.7314 0.7314 0.5000  6 Li 2.96-3.13, 2 Tl 3.25
Tl 0.2686 0.2686 0.5000  6 Li 2.96-3.13, 2 Tl 3.25
Tl 0.7462 0.2538 0.5000  6 Li 2.96-3.01, 2 Tl 3.25


No. 10
# Li7TlCd2

A relaxed Li7TlCd2 crystal (GGA-PBE, Alexandria via LeMat-Bulk).

DFT formation energy in eV per atom: -0.125
Crystal system: trigonal
Calculated total energy in eV per cell: -18.8
SG: P3m1, No. 156

Lattice parameters (Å, degrees): 4.7175 4.7175 9.9855 90.00 90.00 120.00
Last column: nearest neighbours and their distance in Å.
Atoms (fractional coordinates):
Li 0.3333 0.6667 0.0557  3 Li 2.78, 3 Tl 2.98, 1 Cd 3.04
Li 0.3333 0.6667 0.4422  4 Cd 2.82-3.09
Li 0.0000 0.0000 0.6038  3 Li 2.73
Li 0.6667 0.3333 0.1094  1 Li 2.43, 1 Cd 2.59
Li 0.6667 0.3333 0.8659  2 Li 2.39-2.43
Li 0.0000 0.0000 0.2572  3 Cd 2.94, 6 Li 3.10-3.29, 1 Tl 3.21
Li 0.6667 0.3333 0.6263  1 Li 2.39, 1 Cd 2.57
Cd 0.6667 0.3333 0.3690  5 Li 2.57-2.82
Cd 0.3333 0.6667 0.7513  11 Li 2.95-3.10, 3 Tl 3.29
Tl 0.0000 0.0000 0.9358  6 Li 2.81-2.98


No. 11
# Li2Tl2Cd

A relaxed Li2Tl2Cd crystal (GGA-PBE, Alexandria via LeMat-Bulk).

DFT formation energy in eV per atom: -0.170
Crystal system: monoclinic
Calculated total energy in eV per cell: -20.6
SG: C2/c, No. 15

Lattice parameters (Å, degrees): 4.9058 10.7435 13.7302 18.43 79.71 76.80
Last column: nearest neighbours and their distance in Å.
Atoms (fractional coordinates):
Li 0.3409 0.8976 0.9277  4 Cd 2.93, 4 Tl 3.03-3.07, 1 Li 3.21
Li 0.1662 0.6024 0.5723  4 Cd 2.93, 4 Tl 3.03-3.07, 1 Li 3.21
Li 0.6591 0.1024 0.0723  4 Cd 2.93, 4 Tl 3.03-3.07, 1 Li 3.21
Li 0.8338 0.3976 0.4277  4 Cd 2.93, 4 Tl 3.03-3.07, 1 Li 3.21
Tl 0.0625 0.4976 0.8751  4 Li 3.03-3.07, 3 Tl 3.35-3.39
Tl 0.4352 0.0024 0.6249  4 Li 3.03-3.07, 3 Tl 3.35-3.39
Tl 0.9375 0.5024 0.1249  4 Li 3.03-3.07, 3 Tl 3.35-3.39
Tl 0.5648 0.9976 0.3751  4 Li 3.03-3.07, 3 Tl 3.35-3.39
Cd 0.7538 0.2500 0.7500  8 Li 2.93
Cd 0.2462 0.7500 0.2500  8 Li 2.93


No. 12
# LiTmTlCd

A relaxed LiTmTlCd crystal (GGA-PBE, Alexandria via LeMat-Bulk).

DFT formation energy in eV per atom: -0.284
Crystal system: cubic
Calculated total energy in eV per cell: -10.8
SG: F-43m, No. 216

Lattice parameters (Å, degrees): 5.0627 5.0627 5.0627 60.00 60.00 60.00
Last column: nearest neighbours and their distance in Å.
Atoms (fractional coordinates):
Li 0.0000 0.0000 0.0000  4 Cd 3.10, 4 Tl 3.10
Cd 0.7500 0.7500 0.7500  4 Li 3.10, 4 Tm 3.10
Tl 0.2500 0.2500 0.2500  4 Li 3.10, 4 Tm 3.10
Tm 0.5000 0.5000 0.5000  4 Tl 3.10, 4 Cd 3.10


Number 1: magnetization 0.000 μB/f.u.. Number 2: magnetization 0.000 μB/f.u.. Number 3: magnetization 0.000 μB/f.u.. Number 4: magnetization 0.000 μB/f.u.. Number 5: magnetization 0.000 μB/f.u.. Number 6: magnetization 0.000 μB/f.u.. Number 7: magnetization 0.000 μB/f.u.. Number 8: magnetization 0.000 μB/f.u.. Number 9: magnetization 0.000 μB/f.u.. Number 10: magnetization 0.000 μB/f.u.. Number 11: magnetization 0.000 μB/f.u.. Number 12: magnetization 0.000 μB/f.u..